Entry 1:
8
Lattice="4.0883 0.0000 0.0000 0.0000 7.1716 -0.2437 0.0000 2.4295 6.4595" Properties=species:S:1:pos:R:3 comment="LiNdSn2S4 (PBE-GGA, optimized geometry)" sg=P2/m formation_energy_uncorrected_ev_per_atom=-1.042 dft_energy_ev_per_atom=-4.941 pbc="T T T"
S 4.0883 2.4715 1.5314
S 0.0001 7.1296 4.6844
S 2.0442 5.8861 1.4422
Nd 0.0000 4.8005 3.1079
Li 2.0442 6.0153 6.3376
Sn 2.0441 1.2147 3.2297
Sn 0.0000 2.4295 6.4595
S 2.0441 3.7150 4.7736

---

Entry 2:
6
Lattice="-2.0505 -2.4858 -0.4135 2.8680 0.1994 -2.6580 3.1114 -3.5922 6.1658" Properties=species:S:1:pos:R:3 comment="NiSnH (PBE-GGA, optimized geometry)" sg=C2/m n_ef_per_ev_cell=2.00 e_above_lowest_polymorph_ev_per_atom=0.053 dft_energy_ev_per_atom=-4.356 pbc="T T T"
H -0.3101 -1.7262 -0.8477
Sn 2.2923 -2.5770 4.1245
H 4.2390 -4.1524 3.9420
Sn 1.6366 -3.3016 -1.0302
Ni 1.0266 -0.7618 -0.5111
Ni 2.9023 -5.1168 3.6053